Compound: Ca2VWN5
Source: the Alexandria database
Functional: PBE-GGA
Structure: optimized geometry

Calculated values
E_form (uncorrected) ... -7.760 eV/f.u.

Lattice parameters (Å, degrees): 3.1838 13.7726 10.7749 90.00 90.00 90.00
Closest atoms and distances in Å follow each position.
Space group Cmc2_1 (No. 36)
Inequivalent atoms, fractional coordinates:
Ca 0.0000 0.0909 0.0000 x4  6 N 2.44-2.69
Ca 0.0000 0.1345 0.6633 x4  7 N 2.48-2.69
V 0.0000 0.4393 0.7678 x4  4 N 1.73-1.86
W 0.0000 0.2200 0.3777 x4  3 N 1.82-2.00
N 0.0000 0.0476 0.3563 x4  2 V 1.86
N 0.0000 0.2863 0.9893 x4  2 W 2.00
N 0.0000 0.3081 0.7376 x4  1 V 1.84
N 0.0000 0.3493 0.3418 x4  1 W 1.82
N 0.0000 0.4994 0.6272 x4  1 V 1.73